Record 1
# AlCrTc (PBEsol, optimized geometry)
# total DFT energy (no corrections): -8.8157 eV/atom
# ΔH_f (0 K): -0.282 eV/atom
# total magnetic moment: 0.00 μB/atom
# D(E_F): 1.30 states/eV/cell
data_AlCrTc
_symmetry_space_group_name_H-M 'P 1'
_symmetry_Int_Tables_number 1
_symmetry_space_group_name_Hall 'P 1'
_cell_length_a 2.959
_cell_length_b 2.959
_cell_length_c 4.916
_cell_angle_alpha 107.52
_cell_angle_beta 107.52
_cell_angle_gamma 90.00
loop_
_atom_site_label
_atom_site_fract_x
_atom_site_fract_y
_atom_site_fract_z
Tc1 0.321 0.321 0.642
Al1 0.003 0.003 0.006
Cr1 0.676 0.676 0.352



Record 2
# Cs3YTl (PBEsol, optimized geometry)
# total DFT energy (no corrections): -1.5513 eV/atom
# ΔH_f (0 K): 0.905 eV/atom
# total magnetic moment: 0.99 μB/atom
# D(E_F): 6.91 states/eV/cell
data_Cs3YTl
_symmetry_space_group_name_H-M 'P 1'
_symmetry_Int_Tables_number 1
_symmetry_space_group_name_Hall 'P 1'
_cell_length_a 7.193
_cell_length_b 7.193
_cell_length_c 7.193
_cell_angle_alpha 90.00
_cell_angle_beta 90.00
_cell_angle_gamma 90.00
loop_
_atom_site_label
_atom_site_fract_x
_atom_site_fract_y
_atom_site_fract_z
Cs1 0.000 0.000 0.500
Cs2 0.000 0.500 0.000
Cs3 0.500 0.000 0.000
Y1 0.000 0.000 0.000
Tl1 0.500 0.500 0.500



Question: The lowest total DFT energy (no corrections) belongs to which entry?
Answer: AlCrTc



Question: What is the D(E_F) in the second record?
Answer: 6.91 states/eV/cell